The following is a DFT calculation (PBE) of an optimized crystal structure of NdTh3Se6.

Cell lengths 11.3311, 14.0092, 7.2796 Å; angles 90.00, 90.00, 90.00 degrees
Closest atoms and distances in Å follow each position.
Space group Cmc2_1 (No. 36)
Inequivalent atoms, fractional coordinates:
Nd 0.0000 0.1656 0.0000 (multiplicity 4)  5 Se 2.86-2.99
Th 0.0000 0.4018 0.3829 (multiplicity 4)  7 Se 2.91-2.99
Th 0.1737 0.1010 0.4862 (multiplicity 8)  7 Se 2.98-3.05
Se 0.0000 0.0000 0.2407 (multiplicity 4)  2 Nd 2.91-2.99, 4 Th 3.01-3.05
Se 0.0000 0.2405 0.6349 (multiplicity 4)  1 Nd 2.86, 3 Th 2.91-2.98
Se 0.1623 0.4668 0.6814 (multiplicity 8)  4 Th 2.99-3.05
Se 0.1756 0.2678 0.2211 (multiplicity 8)  1 Nd 2.93, 3 Th 2.98-3.04

Computed properties:
For the volume, the calculation gives 28.89 Å³ per atom. Its formation energy without anion corrections is -37.85 kcal/mol of atoms.

***

The following is a DFT calculation (PBE) of an optimized crystal structure of TiBe2ReNi.

Cell lengths 3.8808, 3.8808, 4.3821 Å; angles 90.00, 90.00, 90.00 degrees
Closest atoms and distances in Å follow each position.
Space group P4/mmm (No. 123)
Inequivalent atoms, fractional coordinates:
Ti 0.0000 0.0000 0.0000 (multiplicity 1)  2 Ni 2.19
Be 0.0000 0.5000 0.5000 (multiplicity 2)  2 Ni 1.94
Re 0.5000 0.5000 0.0000 (multiplicity 1)  4 Ti 2.74, 8 Be 2.93
Ni 0.0000 0.0000 0.5000 (multiplicity 1)  4 Be 1.94

Computed properties:
The calculation puts the energy of formation from the pure elements at 0.59 eV/atom. For the volume, the calculation gives 13.20 Å³ per atom.

***

The following is a DFT calculation (PBE) of an optimized crystal structure of ScTcMo2.

Cell lengths 4.7127, 5.1984, 5.4719 Å; angles 90.00, 90.00, 90.00 degrees
Closest atoms and distances in Å follow each position.
Space group Pmmn (No. 59, origin choice 2)
Inequivalent atoms, fractional coordinates:
Sc 0.2500 0.2500 0.1271 (multiplicity 2)  4 Tc 2.61-2.85
Tc 0.2500 0.7500 0.1648 (multiplicity 2)  4 Sc 2.61-2.85, 2 Mo 2.84
Mo 0.2500 0.5108 0.6319 (multiplicity 4)  4 Mo 2.49-2.77

Computed properties:
As for the energy above the most stable polymorph in this dataset: 0.299 eV per atom. The calculation puts the energy of formation from the pure elements at 0.19 eV/atom. For the volume, the calculation gives 16.76 Å³ per atom.

***

Calculated theoretical density, 7.6, 7.8, 8.3 g/cm3 (same order as the records).